(1)
DFT (PBE) results for a relaxed TlAg2As crystal.

It has space group C2/m (No. 12), with a = 6.455 Å, b = 9.461 Å, c = 3.202 Å, α = 90.00°, β = 118.11° and γ = 90.00°. The asymmetric unit holds Tl at (0.000, 0.000, 0.000), Ag at (0.250, 0.250, 0.500) and As at (0.000, 0.500, 0.000).

As for the final energy: -2.939 eV per atom. For the energy of formation from the pure elements, the calculation gives 0.240 eV/atom.

***

(2)
DFT (PBE) results for a relaxed TlAg2As crystal.

It has space group R-3m (No. 166, hexagonal axes), with a = 3.3666 Å, b = 3.3666 Å, c = 26.1627 Å, α = 90.00°, β = 90.00° and γ = 120.00°. The asymmetric unit holds Tl at (0.0000, 0.0000, 0.0000), Ag at (0.0000, 0.0000, 0.2417) and As at (0.0000, 0.0000, 0.5000).

As for the final energy: -2.975 eV per atom. For the energy of formation from the pure elements, the calculation gives 0.205 eV/atom.

***

(3)
DFT (PBE) results for a relaxed TlAg3As crystal.

It has space group Pm-3m (No. 221), with a = 5.053 Å, b = 5.053 Å, c = 5.053 Å, α = 90.00°, β = 90.00° and γ = 90.00°. The asymmetric unit holds Tl at (0.000, 0.000, 0.000), Ag at (0.000, 0.500, 0.500) and As at (0.500, 0.500, 0.500).

As for the final energy: -2.908 eV per atom. For the energy of formation from the pure elements, the calculation gives 0.206 eV/atom.